# Zn3CuPd (PBE, relaxed)
data_Zn3CuPd
_chemical_formula_sum 'Zn3 Cu1 Pd1'
_cell_length_a 4.490
_cell_length_b 4.490
_cell_length_c 4.490
_cell_angle_alpha 90.00
_cell_angle_beta 90.00
_cell_angle_gamma 90.00
_space_group_name_H-M_alt 'P m -3 m'
_space_group_IT_number 221
_space_group_name_Hall '-P 4 2 3'
loop_
_atom_site_label
_atom_site_type_symbol
_atom_site_fract_x
_atom_site_fract_y
_atom_site_fract_z
Zn1 Zn 0.000 0.000 0.500
Cu1 Cu 0.000 0.000 0.000
Pd1 Pd 0.500 0.500 0.500
# **Formation enthalpy at 0 K**: 351 meV/atom
# **ρ**: 6718 kg/m³
# **V**: 91 Å³/f.u.
# **DOS at the Fermi energy**: 0.4329 states/eV per atom
# **E_tot**: -11.36 eV per cell